(1)
A geometry-optimized Li8AgPt2 structure. Source: the Alexandria database, functional PBE.

Summary:
E above lowest polymorph = 0.011 eV/atom
E_form = -0.317 eV per atom
SG = P2/m

Structure (extended XYZ):
```
11
Lattice="-1.472 -3.301 2.253 7.433 -2.567 1.094 4.066 1.605 5.008" Properties=species:S:1:pos:R:3 pbc="T T T"
Li 1.396 0.364 1.445
Li 5.254 0.348 3.942
Li 5.884 -0.929 6.509
Li 6.877 -2.744 4.498
Li 3.150 -1.520 3.857
Li 4.142 -3.334 1.846
Li 4.773 -4.611 4.413
Li 8.631 -4.627 6.910
Ag -0.736 -1.651 1.127
Pt 2.335 -3.870 3.908
Pt 7.692 -0.394 4.447
```

***

(2)
A geometry-optimized Pm3SnI3 structure. Source: the Alexandria database, functional PBE.

Summary:
SG = P2_1/m
DFT total energy = -60.5 eV for the cell shown

Structure (extended XYZ):
```
14
Lattice="-2.716 2.237 -2.831 -4.537 -7.674 -1.711 -7.604 2.952 9.629" Properties=species:S:1:pos:R:3 pbc="T T T"
Pm -6.465 0.202 4.561
Pm -8.392 -2.687 0.526
Pm -9.342 -3.849 4.122
Pm -5.514 1.363 0.965
Pm -6.126 -5.976 -0.644
Pm -8.730 3.490 5.732
Sn -8.145 -5.582 1.604
Sn -6.711 3.096 3.483
I -5.468 -1.741 2.071
I -9.388 -0.745 3.017
I -11.392 -3.297 6.526
I -3.464 0.811 -1.438
I -8.624 0.548 6.907
I -6.233 -3.034 -1.820
```

***

(3)
A geometry-optimized LaTm2Th6 structure. Source: the Alexandria database, functional PBE.

Summary:
E_form = 0.315 eV per atom
SG = C2/m

Structure (extended XYZ):
```
9
Lattice="-7.477 -0.689 -5.247 -1.731 -6.055 3.263 -6.204 5.033 -1.660" Properties=species:S:1:pos:R:3 pbc="T T T"
La 0.000 0.000 0.000
Tm -6.258 0.983 -1.496
Tm -9.154 -2.694 -2.148
Th -11.533 2.755 -5.039
Th -9.395 0.866 -3.377
Th -12.438 -0.412 -3.333
Th -3.879 -4.466 1.394
Th -6.017 -2.577 -0.267
Th -2.974 -1.300 -0.312
```

***

(4)
A geometry-optimized TbPm3Sm7 structure. Source: the Alexandria database, functional PBE.

Summary:
E above lowest polymorph = 0.000 eV/atom
E_form = 0.229 eV per atom
SG = C2/m

Structure (extended XYZ):
```
11
Lattice="6.457 0.017 0.434 0.426 7.697 1.082 -0.004 0.029 7.783" Properties=species:S:1:pos:R:3 pbc="T T T"
Tb 3.439 3.871 4.649
Pm 0.352 6.376 2.235
Pm 3.228 0.009 0.217
Pm 6.526 1.366 7.063
Sm 5.182 1.862 2.462
Sm 5.158 7.084 5.768
Sm 1.869 3.296 1.225
Sm 5.010 4.446 8.073
Sm 0.211 3.863 4.432
Sm 1.720 0.659 3.530
Sm 1.696 5.881 6.836
```

***

(5)
A geometry-optimized CsNaV3 structure. Source: the Alexandria database, functional PBE.

Summary:
E_form = 2.527 eV per atom
SG = Pm-3m

Structure (extended XYZ):
```
5
Lattice="4.864 0.000 0.000 0.000 4.864 0.000 0.000 0.000 4.864" Properties=species:S:1:pos:R:3 pbc="T T T"
Cs 0.000 0.000 0.000
Na 2.432 2.432 2.432
V 0.000 2.432 0.000
V 0.000 0.000 2.432
V 2.432 0.000 0.000
```

***

(6)
A geometry-optimized Mg3NpPt12 structure. Source: the Alexandria database, functional PBE.

Summary:
E_form = -0.603 eV per atom
SG = P4/mmm

Structure (extended XYZ):
```
16
Lattice="-0.977 3.632 -1.432 -3.833 -0.611 1.063 2.953 6.451 14.349" Properties=species:S:1:pos:R:3 pbc="T T T"
Mg 0.761 1.663 3.700
Mg 1.476 3.226 7.175
Mg 2.191 4.788 10.650
Np 0.000 0.000 0.000
Pt -2.405 1.510 -0.184
Pt -1.649 3.162 3.490
Pt -0.928 4.736 6.991
Pt -0.208 6.310 10.491
Pt -0.099 2.667 1.177
Pt 0.629 4.257 4.713
Pt 1.347 5.826 8.204
Pt 2.075 7.416 11.741
Pt -1.527 0.545 2.425
Pt -0.799 2.135 5.961
Pt -0.081 3.705 9.452
Pt 0.647 5.294 12.988
```

***

(7)
A geometry-optimized Tl2H4Au structure. Source: the Alexandria database, functional PBE.

Summary:
SG = P2_1/m
DFT total energy = -39.0 eV for the cell shown

Structure (extended XYZ):
```
14
Lattice="6.754 0.000 0.000 0.000 3.831 -0.794 0.000 3.343 8.349" Properties=species:S:1:pos:R:3 pbc="T T T"
Tl 1.689 0.420 0.285
Tl 5.065 6.754 7.270
Tl 5.065 4.533 4.341
Tl 1.688 2.641 3.214
H 3.349 5.144 6.185
H 1.688 4.164 1.446
H 5.065 3.010 6.109
H 0.028 5.144 6.185
H 5.065 2.199 3.102
H 6.726 2.030 1.370
H 3.405 2.030 1.370
H 1.689 4.975 4.453
Au 1.689 5.141 6.131
Au 5.065 2.033 1.424
```

***

(8)
A geometry-optimized YInTc2 structure. Source: the Alexandria database, functional PBE.

Summary:
E_form = 0.341 eV per atom
SG = C2/m

Structure (extended XYZ):
```
4
Lattice="-4.853 -0.180 2.683 0.452 -2.732 -4.783 0.244 -2.782 0.893" Properties=species:S:1:pos:R:3 pbc="T T T"
In -2.201 -1.456 -1.050
Tc 0.000 0.000 0.000
Tc -2.305 -1.481 1.788
Y 0.348 -2.757 -1.945
```

***

Number 1: calculated volume 180 Å³/f.u.. Number 2: calculated volume 258 Å³/f.u.. Number 3: calculated volume 306 Å³/f.u.. Number 4: calculated volume 387 Å³/f.u.. Number 5: calculated volume 115 Å³/f.u.. Number 6: calculated volume 259 Å³/f.u.. Number 7: calculated volume 117 Å³/f.u.. Number 8: calculated volume 75 Å³/f.u..